# BeCrSe3

BeCrSe3 after structural relaxation (GGA-PBE, Alexandria).

Properties
Uncorrected formation energy   0.6189 eV/atom
D(E_F)   5.85 states/eV per cell
Offset from the most stable computed form   0 meV/atom
Magnetization   2.03 μB/f.u.

The structure in CIF format:
```
data_BeCrSe3
_cell_length_a 4.795
_cell_length_b 4.795
_cell_length_c 4.795
_cell_angle_alpha 90.00
_cell_angle_beta 90.00
_cell_angle_gamma 90.00
_symmetry_space_group_name_H-M 'P m -3 m'
_symmetry_Int_Tables_number 221
_symmetry_space_group_name_Hall '-P 4 2 3'
loop_
_atom_site_label
_atom_site_fract_x
_atom_site_fract_y
_atom_site_fract_z
Be1 0.000 0.000 0.000
Cr1 0.500 0.500 0.500
Se1 0.000 0.500 0.500
```